Record 1
A plane-wave DFT calculation with GGA-PBE was carried out for a relaxed structure of K2LaAs.

size of the total moment = 0.000 Bohr magnetons per cell
density = 2.579 g/cm³
energy = -13.7 eV per cell
space group = No. 99

CIF file:
```
data_K2LaAs
_chemical_formula_sum 'K2 La1 As1'
_cell_length_a 4.1318
_cell_length_b 4.1318
_cell_length_c 11.0152
_cell_angle_alpha 90.00
_cell_angle_beta 90.00
_cell_angle_gamma 90.00
_symmetry_space_group_name_H-M 'P 1'
_symmetry_Int_Tables_number 1
loop_
_symmetry_equiv_pos_as_xyz
'x,y,z'
loop_
_atom_site_label
_atom_site_type_symbol
_atom_site_fract_x
_atom_site_fract_y
_atom_site_fract_z
K1 K 0.0000 0.0000 0.0000
K2 K 0.5000 0.5000 0.3541
La1 La 0.0000 0.0000 0.6713
As1 As 0.5000 0.5000 0.7379
```

Record 2
A plane-wave DFT calculation with GGA-PBE was carried out for a relaxed structure of K2LaAs.

size of the total moment = 0.304 Bohr magnetons per cell
density = 3.758 g/cm³
energy = -23.3 eV per cell
space group = No. 119

CIF file:
```
data_K2LaAs
_chemical_formula_sum 'K4 La2 As2'
_cell_length_a 5.2140
_cell_length_b 5.2140
_cell_length_c 9.4938
_cell_angle_alpha 90.00
_cell_angle_beta 90.00
_cell_angle_gamma 90.00
_symmetry_space_group_name_H-M 'P 1'
_symmetry_Int_Tables_number 1
loop_
_symmetry_equiv_pos_as_xyz
'x,y,z'
loop_
_atom_site_label
_atom_site_type_symbol
_atom_site_fract_x
_atom_site_fract_y
_atom_site_fract_z
K1 K 0.0000 0.0000 0.0000
K2 K 0.0000 0.5000 0.2500
K3 K 0.5000 0.0000 0.7500
K4 K 0.5000 0.5000 0.5000
La1 La 0.0000 0.5000 0.7500
La2 La 0.5000 0.0000 0.2500
As1 As 0.0000 0.0000 0.5000
As2 As 0.5000 0.5000 0.0000
```

Record 3
A plane-wave DFT calculation with GGA-PBE was carried out for a relaxed structure of KLaAs4.

size of the total moment = 0.000 Bohr magnetons per cell
density = 5.595 g/cm³
energy = -26.9 eV per cell
space group = No. 216

CIF file:
```
data_KLaAs4
_chemical_formula_sum 'K1 La1 As4'
_cell_length_a 5.8529
_cell_length_b 5.8529
_cell_length_c 5.8529
_cell_angle_alpha 60.00
_cell_angle_beta 60.00
_cell_angle_gamma 60.00
_symmetry_space_group_name_H-M 'P 1'
_symmetry_Int_Tables_number 1
loop_
_symmetry_equiv_pos_as_xyz
'x,y,z'
loop_
_atom_site_label
_atom_site_type_symbol
_atom_site_fract_x
_atom_site_fract_y
_atom_site_fract_z
K1 K 0.0000 0.0000 0.0000
La1 La 0.7500 0.7500 0.7500
As1 As 0.3746 0.3746 0.3746
As2 As 0.3746 0.3746 0.8763
As3 As 0.3746 0.8763 0.3746
As4 As 0.8763 0.3746 0.3746
```

Record 4
A plane-wave DFT calculation with GGA-PBE was carried out for a relaxed structure of KLa2As.

size of the total moment = 0.000 Bohr magnetons per cell
density = 5.424 g/cm³
energy = -16.5 eV per cell
space group = No. 123

CIF file:
```
data_KLa2As
_chemical_formula_sum 'K1 La2 As1'
_cell_length_a 5.0607
_cell_length_b 5.0607
_cell_length_c 4.6840
_cell_angle_alpha 90.00
_cell_angle_beta 90.00
_cell_angle_gamma 90.00
_symmetry_space_group_name_H-M 'P 1'
_symmetry_Int_Tables_number 1
loop_
_symmetry_equiv_pos_as_xyz
'x,y,z'
loop_
_atom_site_label
_atom_site_type_symbol
_atom_site_fract_x
_atom_site_fract_y
_atom_site_fract_z
K1 K 0.0000 0.0000 0.0000
La1 La 0.0000 0.5000 0.5000
La2 La 0.5000 0.0000 0.5000
As1 As 0.5000 0.5000 0.0000
```

Record 5
A plane-wave DFT calculation with GGA-PBE was carried out for a relaxed structure of K2LaAs.

size of the total moment = 0.398 Bohr magnetons per cell
density = 3.724 g/cm³
energy = -46.4 eV per cell
space group = No. 216

CIF file:
```
data_K2LaAs
_chemical_formula_sum 'K8 La4 As4'
_cell_length_a 8.0461
_cell_length_b 8.0461
_cell_length_c 8.0461
_cell_angle_alpha 90.00
_cell_angle_beta 90.00
_cell_angle_gamma 90.00
_symmetry_space_group_name_H-M 'P 1'
_symmetry_Int_Tables_number 1
loop_
_symmetry_equiv_pos_as_xyz
'x,y,z'
loop_
_atom_site_label
_atom_site_type_symbol
_atom_site_fract_x
_atom_site_fract_y
_atom_site_fract_z
K1 K 0.0000 0.0000 0.0000
K2 K 0.0000 0.5000 0.5000
K3 K 0.2500 0.2500 0.2500
K4 K 0.2500 0.7500 0.7500
K5 K 0.5000 0.0000 0.5000
K6 K 0.5000 0.5000 0.0000
K7 K 0.7500 0.2500 0.7500
K8 K 0.7500 0.7500 0.2500
La1 La 0.2500 0.2500 0.7500
La2 La 0.2500 0.7500 0.2500
La3 La 0.7500 0.2500 0.2500
La4 La 0.7500 0.7500 0.7500
As1 As 0.0000 0.0000 0.5000
As2 As 0.0000 0.5000 0.0000
As3 As 0.5000 0.0000 0.0000
As4 As 0.5000 0.5000 0.5000
```

Record 6
A plane-wave DFT calculation with GGA-PBE was carried out for a relaxed structure of KLa2As.

size of the total moment = 0.000 Bohr magnetons per cell
density = 5.470 g/cm³
energy = -32.5 eV per cell
space group = No. 139

CIF file:
```
data_KLa2As
_chemical_formula_sum 'K2 La4 As2'
_cell_length_a 4.9096
_cell_length_b 4.9096
_cell_length_c 9.8701
_cell_angle_alpha 90.00
_cell_angle_beta 90.00
_cell_angle_gamma 90.00
_symmetry_space_group_name_H-M 'P 1'
_symmetry_Int_Tables_number 1
loop_
_symmetry_equiv_pos_as_xyz
'x,y,z'
loop_
_atom_site_label
_atom_site_type_symbol
_atom_site_fract_x
_atom_site_fract_y
_atom_site_fract_z
K1 K 0.0000 0.0000 0.0000
K2 K 0.5000 0.5000 0.5000
La1 La 0.0000 0.5000 0.2500
La2 La 0.0000 0.5000 0.7500
La3 La 0.5000 0.0000 0.2500
La4 La 0.5000 0.0000 0.7500
As1 As 0.0000 0.0000 0.5000
As2 As 0.5000 0.5000 0.0000
```

How do the records compare in DOS at the Fermi energy? In the order shown, they have 0.71; 1.17; 0.83; 0.99; 1.19; 1.13 states/eV/atom.